No. 1
Crystalline Ir3Cl at its relaxed geometry. Source: Alexandria, functional GGA-PBE.

Values from the calculation:
* SG: Cmmm (65)
* ΔE_f (raw): 59.2 kJ per mole of atoms
* total moment: 0.00 μB/f.u.
* V: 15.299 Å³/atom

a = 2.821 Å, b = 2.821 Å, c = 9.095 Å
α = 90.00°, β = 90.00°, γ = 122.30°
Sites, in units of the cell vectors:
1 Ir 0.000 0.000 0.000
2 Ir 0.500 0.500 0.252
3 Ir 0.500 0.500 0.748
4 Cl 0.000 0.000 0.500

No. 2
Crystalline HfZrAgRu at its relaxed geometry. Source: Alexandria, functional GGA-PBE.

Values from the calculation:
* SG: F-43m (216)
* total moment: 0.00 μB/f.u.
* ΔE_f: -0.267 eV/atom
* V: 18.659 Å³/atom

a = 4.726 Å, b = 4.726 Å, c = 4.726 Å
α = 60.00°, β = 60.00°, γ = 60.00°
Sites, in units of the cell vectors:
1 Hf 0.000 0.000 0.000
2 Zr 0.500 0.500 0.500
3 Ag 0.250 0.250 0.250
4 Ru 0.750 0.750 0.750

No. 3
Crystalline CaTiSe2Br at its relaxed geometry. Source: Alexandria, functional GGA-PBE.

Values from the calculation:
* SG: P4/mmm (123)
* ΔE_f (raw): -6.6 kJ per mole of atoms
* total moment: 0.03 μB/f.u.
* V: 31.201 Å³/atom

a = 5.437 Å, b = 5.437 Å, c = 5.278 Å
α = 90.00°, β = 90.00°, γ = 90.00°
Sites, in units of the cell vectors:
1 Ca 0.000 0.000 0.000
2 Ti 0.500 0.500 0.500
3 Se 0.000 0.500 0.000
4 Se 0.500 0.000 0.000
5 Br 0.000 0.000 0.500

No. 4
Crystalline CsNdTl2I6 at its relaxed geometry. Source: Alexandria, functional GGA-PBE.

Values from the calculation:
* SG: P1 (1)
* ΔE_f (raw): -110.5 kJ per mole of atoms
* total moment: 0.00 μB/f.u.
* V: 53.076 Å³/atom

a = 8.826 Å, b = 8.834 Å, c = 9.364 Å
α = 61.90°, β = 61.89°, γ = 60.04°
Sites, in units of the cell vectors:
1 Cs 0.000 0.000 0.000
2 Nd 0.517 0.517 0.449
3 Tl 0.195 0.194 0.416
4 Tl 0.710 0.711 0.868
5 I 0.155 0.750 0.665
6 I 0.347 0.560 0.194
7 I 0.430 0.155 0.665
8 I 0.561 0.898 0.194
9 I 0.750 0.430 0.665
10 I 0.898 0.348 0.194

No. 5
Crystalline FeP2Se at its relaxed geometry. Source: Alexandria, functional GGA-PBE.

Values from the calculation:
* SG: Cmmm (65)
* ΔE_f (raw): 62.2 kJ per mole of atoms
* total moment: 2.19 μB/f.u.
* V: 15.079 Å³/atom

a = 4.473 Å, b = 4.473 Å, c = 3.165 Å
α = 90.00°, β = 90.00°, γ = 107.73°
Sites, in units of the cell vectors:
1 Fe 0.000 0.000 0.000
2 P 0.000 0.500 0.500
3 P 0.500 0.000 0.500
4 Se 0.500 0.500 0.000

No. 6
Crystalline MgTa2BeI at its relaxed geometry. Source: Alexandria, functional GGA-PBE.

Values from the calculation:
* SG: P4/mmm (123)
* ΔE_f (raw): 229.4 kJ per mole of atoms
* total moment: 0.00 μB/f.u.
* V: 24.850 Å³/atom

a = 4.934 Å, b = 4.934 Å, c = 5.104 Å
α = 90.00°, β = 90.00°, γ = 90.00°
Sites, in units of the cell vectors:
1 Mg 0.000 0.000 0.000
2 Ta 0.000 0.500 0.000
3 Ta 0.500 0.000 0.000
4 Be 0.500 0.500 0.500
5 I 0.000 0.000 0.500

No. 7
Crystalline CaReRh2 at its relaxed geometry. Source: Alexandria, functional GGA-PBE.

Values from the calculation:
* SG: P4/mmm (123)
* total moment: 0.00 μB/f.u.
* ΔE_f: -0.064 eV/atom
* V: 16.826 Å³/atom

a = 2.900 Å, b = 2.900 Å, c = 8.005 Å
α = 90.00°, β = 90.00°, γ = 90.00°
Sites, in units of the cell vectors:
1 Ca 0.000 0.000 0.000
2 Re 0.000 0.000 0.500
3 Rh 0.500 0.500 0.286
4 Rh 0.500 0.500 0.714

No. 8
Crystalline Ho3Ga4Si2 at its relaxed geometry. Source: Alexandria, functional GGA-PBE.

Values from the calculation:
* SG: C2/m (12)
* ΔE_f (raw): -60.5 kJ per mole of atoms
* total moment: 0.00 μB/f.u.
* V: 19.851 Å³/atom

a = 5.771 Å, b = 5.771 Å, c = 8.206 Å
α = 101.57°, β = 101.57°, γ = 42.03°
Sites, in units of the cell vectors:
1 Ho 0.000 0.000 0.000
2 Ho 0.332 0.332 0.337
3 Ho 0.668 0.668 0.663
4 Ga 0.058 0.058 0.390
5 Ga 0.269 0.269 0.935
6 Ga 0.731 0.731 0.065
7 Ga 0.942 0.942 0.610
8 Si 0.394 0.394 0.728
9 Si 0.606 0.606 0.272

No. 9
Crystalline TbPmPrNd3 at its relaxed geometry. Source: Alexandria, functional GGA-PBE.

Values from the calculation:
* SG: Cmcm (63)
* total moment: 0.00 μB/f.u.
* ΔE_f: 0.105 eV/atom
* V: 34.611 Å³/atom

a = 6.429 Å, b = 6.429 Å, c = 12.080 Å
α = 90.00°, β = 90.00°, γ = 123.72°
Sites, in units of the cell vectors:
1 Tb 0.156 0.844 0.750
2 Tb 0.844 0.156 0.250
3 Pm 0.484 0.516 0.250
4 Pm 0.516 0.484 0.750
5 Pr 0.000 0.000 0.000
6 Pr 0.000 0.000 0.500
7 Nd 0.171 0.829 0.250
8 Nd 0.329 0.671 0.514
9 Nd 0.329 0.671 0.986
10 Nd 0.671 0.329 0.014
11 Nd 0.671 0.329 0.486
12 Nd 0.829 0.171 0.750

No. 10
Crystalline K2ScTa at its relaxed geometry. Source: Alexandria, functional GGA-PBE.

Values from the calculation:
* SG: P4/mmm (123)
* total moment: 2.70 μB/f.u.
* ΔE_f: 1.295 eV/atom
* V: 31.175 Å³/atom

a = 4.375 Å, b = 4.375 Å, c = 6.516 Å
α = 90.00°, β = 90.00°, γ = 90.00°
Sites, in units of the cell vectors:
1 K 0.000 0.500 0.000
2 K 0.500 0.000 0.000
3 Sc 0.000 0.000 0.500
4 Ta 0.500 0.500 0.500

No. 11
Crystalline Gd3Si2Cl5O6 at its relaxed geometry. Source: Alexandria, functional GGA-PBE.

Values from the calculation:
* SG: C2/m (12)
* ΔE_f (raw): -266.3 kJ per mole of atoms
* total moment: 20.90 μB/f.u.
* V: 20.448 Å³/atom

a = 7.524 Å, b = 7.524 Å, c = 11.872 Å
α = 99.34°, β = 99.34°, γ = 89.07°
Sites, in units of the cell vectors:
1 Gd 0.000 0.500 0.500
2 Gd 0.082 0.584 0.831
3 Gd 0.416 0.918 0.169
4 Gd 0.500 0.000 0.500
5 Gd 0.584 0.082 0.831
6 Gd 0.918 0.416 0.169
7 Si 0.109 0.819 0.357
8 Si 0.181 0.891 0.643
9 Si 0.819 0.109 0.357
10 Si 0.891 0.181 0.643
11 Cl 0.115 0.674 0.079
12 Cl 0.221 0.221 0.164
13 Cl 0.314 0.314 0.502
14 Cl 0.326 0.885 0.921
15 Cl 0.379 0.379 0.857
16 Cl 0.621 0.621 0.143
17 Cl 0.674 0.115 0.079
18 Cl 0.686 0.686 0.498
19 Cl 0.779 0.779 0.836
20 Cl 0.885 0.326 0.921
21 O 0.043 0.609 0.328
22 O 0.047 0.047 0.691
23 O 0.131 0.695 0.672
24 O 0.145 0.855 0.500
25 O 0.305 0.869 0.328
26 O 0.391 0.957 0.672
27 O 0.609 0.043 0.328
28 O 0.695 0.131 0.672
29 O 0.855 0.145 0.500
30 O 0.869 0.305 0.328
31 O 0.953 0.953 0.309
32 O 0.957 0.391 0.672

No. 12
Crystalline AcCo2Sn7 at its relaxed geometry. Source: Alexandria, functional GGA-PBE.

Values from the calculation:
* SG: Cmmm (65)
* total moment: 0.00 μB/f.u.
* ΔE_f: -0.043 eV/atom
* V: 27.407 Å³/atom

a = 8.066 Å, b = 8.066 Å, c = 4.650 Å
α = 90.00°, β = 90.00°, γ = 115.06°
Sites, in units of the cell vectors:
1 Ac 0.000 0.000 0.000
2 Co 0.320 0.680 0.500
3 Co 0.680 0.320 0.500
4 Sn 0.057 0.347 0.500
5 Sn 0.260 0.740 0.000
6 Sn 0.347 0.057 0.500
7 Sn 0.500 0.500 0.500
8 Sn 0.653 0.943 0.500
9 Sn 0.740 0.260 0.000
10 Sn 0.943 0.653 0.500

No. 13
Crystalline Ba2CaVN4 at its relaxed geometry. Source: Alexandria, functional GGA-PBE.

Values from the calculation:
* SG: Pmmn (59)
* ΔE_f (raw): -78.6 kJ per mole of atoms
* total moment: 0.94 μB/f.u.
* V: 19.047 Å³/atom

a = 6.115 Å, b = 7.907 Å, c = 6.302 Å
α = 90.00°, β = 90.00°, γ = 90.00°
Sites, in units of the cell vectors:
1 Ba 0.250 0.005 0.229
2 Ba 0.250 0.495 0.229
3 Ba 0.750 0.505 0.771
4 Ba 0.750 0.995 0.771
5 Ca 0.250 0.250 0.759
6 Ca 0.750 0.750 0.241
7 V 0.250 0.750 0.804
8 V 0.750 0.250 0.196
9 N 0.014 0.750 0.982
10 N 0.250 0.549 0.659
11 N 0.250 0.951 0.659
12 N 0.486 0.750 0.982
13 N 0.514 0.250 0.018
14 N 0.750 0.049 0.341
15 N 0.750 0.451 0.341
16 N 0.986 0.250 0.018

No. 14
Crystalline LaVSe2 at its relaxed geometry. Source: Alexandria, functional GGA-PBE.

Values from the calculation:
* SG: Fm-3m (225)
* ΔE_f (raw): -78.6 kJ per mole of atoms
* total moment: 0.00 μB/f.u.
* V: 20.802 Å³/atom

a = 4.900 Å, b = 4.900 Å, c = 4.900 Å
α = 60.00°, β = 60.00°, γ = 60.00°
Sites, in units of the cell vectors:
1 La 0.000 0.000 0.000
2 V 0.500 0.500 0.500
3 Se 0.250 0.250 0.250
4 Se 0.750 0.750 0.750

No. 15
Crystalline TaHgTe2 at its relaxed geometry. Source: Alexandria, functional GGA-PBE.

Values from the calculation:
* SG: Pmmm (47)
* ΔE_f (raw): 63.2 kJ per mole of atoms
* total moment: 0.00 μB/f.u.
* V: 23.363 Å³/atom

a = 3.519 Å, b = 4.997 Å, c = 5.314 Å
α = 90.00°, β = 90.00°, γ = 90.00°
Sites, in units of the cell vectors:
1 Ta 0.000 0.000 0.000
2 Hg 0.500 0.000 0.500
3 Te 0.000 0.500 0.500
4 Te 0.500 0.500 0.000

No. 16
Crystalline TbSnRu at its relaxed geometry. Source: Alexandria, functional GGA-PBE.

Values from the calculation:
* SG: F-43m (216)
* total moment: 0.00 μB/f.u.
* ΔE_f: -0.360 eV/atom
* V: 23.673 Å³/atom

a = 4.648 Å, b = 4.648 Å, c = 4.648 Å
α = 60.00°, β = 60.00°, γ = 60.00°
Sites, in units of the cell vectors:
1 Tb 0.000 0.000 0.000
2 Sn 0.500 0.500 0.500
3 Ru 0.250 0.250 0.250

No. 17
Crystalline Tl7SnPb3 at its relaxed geometry. Source: Alexandria, functional GGA-PBE.

Values from the calculation:
* SG: Cmcm (63)
* total moment: 0.00 μB/f.u.
* ΔE_f: 0.037 eV/atom
* V: 31.950 Å³/atom

a = 13.152 Å, b = 13.152 Å, c = 15.559 Å
α = 90.00°, β = 90.00°, γ = 164.86°
Sites, in units of the cell vectors:
1 Tl 0.025 0.975 0.609
2 Tl 0.025 0.975 0.891
3 Tl 0.139 0.861 0.250
4 Tl 0.154 0.846 0.585
5 Tl 0.154 0.846 0.915
6 Tl 0.284 0.716 0.588
7 Tl 0.284 0.716 0.912
8 Tl 0.716 0.284 0.088
9 Tl 0.716 0.284 0.412
10 Tl 0.846 0.154 0.085
11 Tl 0.846 0.154 0.415
12 Tl 0.861 0.139 0.750
13 Tl 0.975 0.025 0.109
14 Tl 0.975 0.025 0.391
15 Sn 0.403 0.597 0.250
16 Sn 0.597 0.403 0.750
17 Pb 0.278 0.722 0.250
18 Pb 0.414 0.586 0.577
19 Pb 0.414 0.586 0.923
20 Pb 0.586 0.414 0.077
21 Pb 0.586 0.414 0.423
22 Pb 0.722 0.278 0.750

No. 18
Crystalline Th2Si4IrRh3 at its relaxed geometry. Source: Alexandria, functional GGA-PBE.

Values from the calculation:
* SG: P-4m2 (115)
* ΔE_f (raw): -104.8 kJ per mole of atoms
* total moment: 0.00 μB/f.u.
* V: 17.405 Å³/atom

a = 4.178 Å, b = 4.178 Å, c = 9.972 Å
α = 90.00°, β = 90.00°, γ = 90.00°
Sites, in units of the cell vectors:
1 Th 0.000 0.500 0.245
2 Th 0.500 0.000 0.755
3 Si 0.000 0.000 0.000
4 Si 0.000 0.500 0.631
5 Si 0.500 0.000 0.369
6 Si 0.500 0.500 0.000
7 Ir 0.000 0.000 0.500
8 Rh 0.000 0.500 0.875
9 Rh 0.500 0.000 0.125
10 Rh 0.500 0.500 0.500

No. 19
Crystalline Ac4PmY4 at its relaxed geometry. Source: Alexandria, functional GGA-PBE.

Values from the calculation:
* SG: I4/mmm (139)
* total moment: 0.00 μB/f.u.
* ΔE_f: 0.047 eV/atom
* V: 37.834 Å³/atom

a = 8.389 Å, b = 8.389 Å, c = 8.389 Å
α = 95.94°, β = 95.94°, γ = 142.48°
Sites, in units of the cell vectors:
1 Ac 0.000 0.326 0.326
2 Ac 0.000 0.674 0.674
3 Ac 0.326 0.000 0.326
4 Ac 0.674 0.000 0.674
5 Pm 0.000 0.000 0.000
6 Y 0.337 0.337 0.675
7 Y 0.337 0.663 0.000
8 Y 0.663 0.337 0.000
9 Y 0.663 0.663 0.325

No. 20
Crystalline CaAgOs2 at its relaxed geometry. Source: Alexandria, functional GGA-PBE.

Values from the calculation:
* SG: Imm2 (44)
* total moment: 0.00 μB/f.u.
* ΔE_f: 0.661 eV/atom
* V: 18.352 Å³/atom

a = 5.834 Å, b = 5.834 Å, c = 5.834 Å
α = 151.15°, β = 129.46°, γ = 59.24°
Sites, in units of the cell vectors:
1 Ca 0.000 0.000 0.000
2 Ag 0.722 0.222 0.500
3 Os 0.278 0.778 0.500
4 Os 0.479 0.479 0.000

No. 21
Crystalline Er3Sb2Se at its relaxed geometry. Source: Alexandria, functional GGA-PBE.

Values from the calculation:
* SG: Immm (71)
* ΔE_f (raw): -126.4 kJ per mole of atoms
* total moment: 0.00 μB/f.u.
* V: 27.272 Å³/atom

a = 7.357 Å, b = 7.357 Å, c = 7.357 Å
α = 146.36°, β = 131.52°, γ = 60.30°
Sites, in units of the cell vectors:
1 Er 0.000 0.000 0.000
2 Er 0.340 0.340 0.000
3 Er 0.660 0.660 0.000
4 Sb 0.169 0.669 0.500
5 Sb 0.831 0.331 0.500
6 Se 0.500 0.000 0.500

No. 22
Crystalline Sm2MnGa4Ir3 at its relaxed geometry. Source: Alexandria, functional GGA-PBE.

Values from the calculation:
* SG: P-4m2 (115)
* total moment: 2.74 μB/f.u.
* ΔE_f: -0.608 eV/atom
* V: 18.531 Å³/atom

a = 4.092 Å, b = 4.092 Å, c = 11.067 Å
α = 90.00°, β = 90.00°, γ = 90.00°
Sites, in units of the cell vectors:
1 Sm 0.000 0.500 0.250
2 Sm 0.500 0.000 0.750
3 Mn 0.000 0.000 0.500
4 Ga 0.000 0.000 0.000
5 Ga 0.000 0.500 0.635
6 Ga 0.500 0.000 0.365
7 Ga 0.500 0.500 0.000
8 Ir 0.000 0.500 0.863
9 Ir 0.500 0.000 0.137
10 Ir 0.500 0.500 0.500

No. 23
Crystalline Li2MnB10 at its relaxed geometry. Source: Alexandria, functional GGA-PBE.

Values from the calculation:
* SG: Pbam (55)
* total moment: 2.63 μB/f.u.
* ΔE_f: 0.061 eV/atom
* V: 10.138 Å³/atom

a = 5.514 Å, b = 11.435 Å, c = 4.181 Å
α = 90.00°, β = 90.00°, γ = 90.00°
Sites, in units of the cell vectors:
1 Li 0.155 0.166 0.000
2 Li 0.345 0.666 0.000
3 Li 0.655 0.334 0.000
4 Li 0.845 0.834 0.000
5 Mn 0.000 0.500 0.500
6 Mn 0.500 0.000 0.500
7 B 0.043 0.313 0.500
8 B 0.104 0.948 0.500
9 B 0.150 0.798 0.500
10 B 0.217 0.378 0.196
11 B 0.217 0.378 0.804
12 B 0.283 0.878 0.196
13 B 0.283 0.878 0.804
14 B 0.350 0.298 0.500
15 B 0.396 0.448 0.500
16 B 0.457 0.813 0.500
17 B 0.543 0.187 0.500
18 B 0.604 0.552 0.500
19 B 0.650 0.702 0.500
20 B 0.717 0.122 0.196
21 B 0.717 0.122 0.804
22 B 0.783 0.622 0.196
23 B 0.783 0.622 0.804
24 B 0.850 0.202 0.500
25 B 0.896 0.052 0.500
26 B 0.957 0.687 0.500